# La4TbSe6 GGA-PBE optimized geometry
data_La4TbSe6
_chemical_formula_sum 'La24 Tb6 Se36'
_cell_length_a 12.0266
_cell_length_b 12.0266
_cell_length_c 14.4692
_cell_angle_alpha 90.00
_cell_angle_beta 90.00
_cell_angle_gamma 120.00
_symmetry_space_group_name_H-M 'R -3 c'
_symmetry_Int_Tables_number 167
_symmetry_space_group_name_Hall '-R 3 2"c'
loop_
_atom_site_label
_atom_site_type_symbol
_atom_site_fract_x
_atom_site_fract_y
_atom_site_fract_z
La1 La 0.0000 0.0000 0.2500
La2 La 0.0000 0.3826 0.2500
Tb1 Tb 0.0000 0.0000 0.0000
Se1 Se 0.0296 0.2035 0.3869
# Crystal system: trigonal
# Formation energy from raw total energies, eV/atom: -1.8845
# Total magnetization, μB per formula unit: 0.0

# LaTb2Se4 GGA-PBE optimized geometry
data_LaTb2Se4
_chemical_formula_sum 'La4 Tb8 Se16'
_cell_length_a 4.094
_cell_length_b 13.545
_cell_length_c 13.933
_cell_angle_alpha 90.00
_cell_angle_beta 90.00
_cell_angle_gamma 90.00
_symmetry_space_group_name_H-M 'C m c m'
_symmetry_Int_Tables_number 63
_symmetry_space_group_name_Hall '-C 2c 2'
loop_
_atom_site_label
_atom_site_type_symbol
_atom_site_fract_x
_atom_site_fract_y
_atom_site_fract_z
La1 La 0.000 0.122 0.250
Tb1 Tb 0.000 0.369 0.066
Se1 Se 0.000 0.000 0.000
Se2 Se 0.000 0.273 0.620
Se3 Se 0.000 0.458 0.250
# Crystal system: orthorhombic
# ΔE to the lowest computed polymorph, meV per atom: 0.0
# Formation energy from raw total energies, eV/atom: -1.9322
# Total magnetization, μB per formula unit: 0.0